DFT (GGA-PBE) results for an optimized crystal structure of Sc2TaTl.

Properties
Formation energy from the elements in eV per formula unit: 1.11
Space group: F-43m
Total magnetic moment in μB/cell: 0.00

Unit cell a=6.9706 b=6.9706 c=6.9706 alpha=90.00 beta=90.00 gamma=90.00
Atoms (fractional coordinates):
1 Sc 0.0000 0.0000 0.0000
2 Sc 0.0000 0.5000 0.5000
3 Sc 0.2500 0.2500 0.2500
4 Sc 0.2500 0.7500 0.7500
5 Sc 0.5000 0.0000 0.5000
6 Sc 0.5000 0.5000 0.0000
7 Sc 0.7500 0.2500 0.7500
8 Sc 0.7500 0.7500 0.2500
9 Ta 0.0000 0.0000 0.5000
10 Ta 0.0000 0.5000 0.0000
11 Ta 0.5000 0.0000 0.0000
12 Ta 0.5000 0.5000 0.5000
13 Tl 0.2500 0.2500 0.7500
14 Tl 0.2500 0.7500 0.2500
15 Tl 0.7500 0.2500 0.2500
16 Tl 0.7500 0.7500 0.7500